24
Lattice="3.971 0.000 0.000 0.000 6.111 0.000 0.000 0.000 11.940" Properties=species:S:1:pos:R:3 comment="DyNpB4 (PBE, relaxed)" e_tot_ev_per_atom=-7.60 delta_e_f_ev_per_atom=-0.22 pbc="T T T"
B 1.986 0.107 8.298
B 1.986 3.843 11.285
B 1.986 3.843 6.344
B 1.986 1.814 3.738
B 1.986 2.268 0.655
B 1.986 5.323 5.315
Dy 0.000 5.381 10.040
B 1.986 4.869 2.232
B 1.986 1.242 9.708
B 1.986 4.297 8.202
B 1.986 6.004 3.643
B 1.986 0.788 6.625
Dy 0.000 0.730 1.901
Np 0.000 3.795 0.896
Dy 0.000 2.325 7.871
B 1.986 2.268 5.596
Np 0.000 5.371 6.866
B 1.986 0.787 11.566
Np 0.000 0.740 5.074
B 1.986 3.162 9.613
Np 0.000 2.316 11.044
Dy 0.000 3.786 4.070
B 1.986 5.324 0.374
B 1.986 2.949 2.327


6
Lattice="4.682 0.000 0.000 0.000 3.271 0.000 -2.341 -1.636 7.498" Properties=species:S:1:pos:R:3 comment="DyNpB (PBE, relaxed)" e_tot_ev_per_atom=-7.63 delta_e_f_ev_per_atom=0.44 pbc="T T T"
B 0.000 1.636 2.169
Dy 2.341 0.000 2.666
Np 3.504 1.636 0.000
Np 1.178 1.636 0.000
B 2.341 0.000 5.329
Dy 0.000 1.636 4.832


12
Lattice="-0.023 -2.137 -2.354 6.090 1.749 -1.646 1.186 -5.514 4.994" Properties=species:S:1:pos:R:3 comment="DyBO (PBE, relaxed)" e_tot_ev_per_atom=-7.31 raw_formation_energy_kj_per_mol_atoms=-183 pbc="T T T"
Dy 6.449 -3.853 0.215
B 2.679 -5.564 3.951
O 2.544 -3.108 -0.423
Dy 0.805 -2.048 0.778
O 1.665 -3.668 2.240
B 4.574 -0.338 -2.957
B 5.724 -4.689 3.128
O 4.710 -2.793 1.417
O 5.589 -2.234 -1.247
Dy 3.404 -4.727 1.039
Dy 3.850 -1.174 -0.045
B 1.529 -1.213 -2.134


60
Lattice="7.243 -0.002 0.000 1.983 8.813 0.001 0.737 1.362 9.801" Properties=species:S:1:pos:R:3 comment="DyBO3 (PBE, relaxed)" e_tot_ev_per_atom=-8.31 raw_formation_energy_kj_per_mol_atoms=-297 pbc="T T T"
O 4.435 5.444 1.466
O 5.528 4.728 8.336
O 4.900 7.803 0.859
O 6.421 3.730 2.579
O 1.323 3.045 0.789
O 4.935 2.139 3.600
O 3.839 7.694 3.577
B 4.755 2.779 6.010
O 3.542 6.443 7.223
Dy 2.679 8.434 1.602
O 7.366 4.360 5.239
B 7.358 2.937 5.409
Dy 2.241 1.035 4.713
B 6.311 2.333 3.023
O 6.703 6.139 1.239
O 5.063 2.370 8.943
B 5.207 7.393 3.792
B 1.908 2.671 2.013
O 3.454 8.801 7.852
O 7.796 6.511 6.868
O 6.028 8.488 3.671
B 2.605 7.235 4.393
B 7.909 6.626 0.503
O 1.280 2.494 6.171
B 4.707 3.765 9.042
O 2.596 5.812 4.563
O 8.640 7.128 9.013
O 5.028 8.034 6.203
Dy 7.284 1.739 8.201
Dy 4.381 0.707 1.526
O 2.190 1.357 2.346
O 6.124 2.478 6.225
B 5.255 6.407 0.761
O 3.260 4.033 8.564
Dy 6.243 3.920 0.267
O 5.856 7.330 9.113
Dy 7.894 5.420 3.223
Dy 7.722 9.137 5.089
O 7.291 2.014 4.195
O 8.118 3.996 8.563
O 7.961 8.062 0.351
O 8.683 7.678 3.632
B 3.652 7.840 6.779
Dy 5.582 9.465 8.276
O 1.845 6.177 1.239
O 6.508 1.371 1.950
Dy 3.720 6.253 9.535
O 3.935 1.684 6.131
Dy 4.281 4.353 3.359
O 2.672 8.158 5.608
O 2.002 2.110 9.452
O 5.657 6.137 4.080
O 4.106 2.842 0.689
Dy 5.682 5.819 6.444
O 7.773 8.815 7.457
O 2.167 3.662 2.934
O 4.305 4.035 5.722
B 8.055 7.501 7.789
Dy 2.069 4.752 6.579
B 2.053 3.546 9.299


52
Lattice="-1.258 -3.629 -2.137 8.255 -0.821 -3.466 3.537 -7.190 10.127" Properties=species:S:1:pos:R:3 comment="Dy2B3O8 (PBE, relaxed)" e_tot_ev_per_atom=-8.09 raw_formation_energy_kj_per_mol_atoms=-269 pbc="T T T"
Dy 5.649 -9.991 5.102
O 8.421 -6.853 4.022
B 7.861 -4.496 2.296
Dy 5.497 -6.590 3.935
O 1.500 -3.116 -1.201
B 3.848 -7.845 6.375
O 8.016 -9.124 3.595
O 3.238 -3.556 3.043
B 6.988 -9.122 2.496
B 2.514 -3.514 -0.194
O 2.518 -2.516 0.929
O 4.266 -8.010 9.192
B 1.534 -1.734 -1.767
O 2.516 -7.814 6.936
O 5.930 -2.652 -2.419
B 4.074 -5.211 6.290
O 2.113 -4.787 0.502
O 3.967 -6.438 2.179
B 2.673 -7.144 2.228
O 6.268 -3.630 -4.668
Dy -0.361 -4.465 -0.744
O 1.911 -6.316 3.181
B 3.546 -2.518 2.029
O 9.034 -8.524 5.725
B 6.686 -3.796 -1.851
Dy 9.485 -7.403 1.965
O 7.823 -6.525 -2.236
O 2.870 -1.115 -1.695
Dy 10.895 -7.175 5.269
O 6.736 -7.959 5.360
O 5.905 -5.061 -2.061
O 6.410 -6.721 -0.312
O 6.759 -3.702 -0.350
O 4.124 -4.919 4.836
B 8.020 -8.126 4.718
O 4.629 -6.579 6.585
O 4.604 -8.988 6.943
O 3.775 -7.938 4.875
B 6.460 -6.429 -1.766
O 3.798 -3.681 -0.835
Dy 1.049 -4.237 2.559
O 2.711 -5.115 6.760
Dy 4.885 -1.649 -0.577
O 7.296 -8.084 1.481
Dy 5.037 -5.051 0.589
O 7.664 -10.526 6.220
O 8.018 -3.827 -2.412
O 8.623 -5.324 1.343
B 5.463 -2.716 -3.836
O 5.672 -8.890 3.046
O 6.566 -5.202 2.346
O 4.862 -2.750 1.478


10
Lattice="3.928 0.189 0.000 -1.638 3.576 0.000 0.000 0.000 8.469" Properties=species:S:1:pos:R:3 comment="DyBO3 (PBE, relaxed)" e_tot_ev_per_atom=-8.29 raw_formation_energy_kj_per_mol_atoms=-295 pbc="T T T"
Dy 0.171 0.280 4.234
O 2.534 3.232 6.351
Dy 0.171 0.280 0.000
B 0.667 2.833 2.117
O 0.172 2.445 0.875
O 2.092 1.276 5.109
B 2.209 1.894 6.351
O 2.092 1.276 7.594
O 1.706 3.735 2.117
O 0.172 2.445 3.359


10
Lattice="-0.584 2.928 -1.756 -4.422 -3.609 2.284 0.136 3.533 5.846" Properties=species:S:1:pos:R:3 comment="DyBO3 (PBE, relaxed)" e_tot_ev_per_atom=-8.27 raw_formation_energy_kj_per_mol_atoms=-293 pbc="T T T"
B -3.350 2.932 4.294
O -3.588 -0.689 5.167
O -2.867 -0.262 2.222
O -1.326 2.373 -0.728
B -1.519 -0.080 2.080
O -3.543 0.480 7.102
Dy -4.016 -1.922 3.252
O -1.281 3.542 1.206
O -2.002 3.115 4.152
Dy -0.853 4.775 3.122


20
Lattice="-0.495 -0.213 5.138 2.178 -6.680 -0.067 5.992 3.598 0.727" Properties=species:S:1:pos:R:3 comment="Dy3BO6 (PBE, relaxed)" e_tot_ev_per_atom=-8.31 raw_formation_energy_kj_per_mol_atoms=-317 pbc="T T T"
O 2.623 -1.229 1.272
O 2.478 -1.060 3.862
O 5.240 -2.217 1.483
O 4.848 1.341 4.342
Dy 3.225 -2.817 5.018
O 2.108 -6.161 3.227
O 2.841 -4.630 1.303
O 1.698 -3.771 3.386
B 5.240 1.603 0.711
O 3.959 -4.624 3.569
O 5.684 2.916 1.351
Dy 4.273 -0.555 2.616
O 5.095 -2.047 4.073
Dy 6.542 -1.581 5.629
Dy 1.494 0.324 5.222
O 6.075 0.518 1.389
O 3.814 1.371 1.206
B 2.655 -4.804 2.793
Dy 0.910 -1.811 2.480
Dy 5.958 -3.715 2.887